Record 1
VASP calculation (GGA-PBE) on a relaxed ZnNiAu crystal.

a = 4.224 Å, b = 4.224 Å, c = 2.795 Å
α = 90.00°, β = 90.00°, γ = 120.00°
Element x y z (fractional)
Zn  0.000  0.000  0.000
Ni  0.333  0.667  0.811
Au  0.667  0.333  0.400

Properties
**Space group**: P3m1
**Distance to the lowest polymorph of the same formula**: 84 meV/atom



Record 2
VASP calculation (GGA-PBE) on a relaxed ZnNiAu crystal.

a = 4.131 Å, b = 4.131 Å, c = 4.131 Å
α = 60.00°, β = 60.00°, γ = 60.00°
Element x y z (fractional)
Zn  0.000  0.000  0.000
Ni  0.750  0.750  0.750
Au  0.500  0.500  0.500

Properties
**Space group**: F-43m
**Distance to the lowest polymorph of the same formula**: 210 meV/atom



Record 3
VASP calculation (GGA-PBE) on a relaxed Zn2NiAu crystal.

a = 8.562 Å, b = 8.562 Å, c = 8.562 Å
α = 19.10°, β = 19.10°, γ = 19.10°
Element x y z (fractional)
Zn  0.242  0.242  0.242
Zn  0.758  0.758  0.758
Ni  0.500  0.500  0.500
Au  0.000  0.000  0.000

Properties
**DFT total energy**: -3.0186 eV per atom
**Space group**: R-3m



Record 4
VASP calculation (GGA-PBE) on a relaxed ZnNiAu crystal.

a = 4.715 Å, b = 4.715 Å, c = 4.724 Å
α = 99.36°, β = 99.36°, γ = 120.04°
Element x y z (fractional)
Zn  0.244  0.756  0.750
Zn  0.756  0.244  0.250
Ni  0.077  0.923  0.250
Ni  0.923  0.077  0.750
Au  0.406  0.594  0.250
Au  0.594  0.406  0.750

Properties
**Space group**: C2/c
**Distance to the lowest polymorph of the same formula**: 45 meV/atom



Record 5
VASP calculation (GGA-PBE) on a relaxed ZnNi3Au crystal.

a = 4.676 Å, b = 4.676 Å, c = 4.676 Å
α = 90.00°, β = 90.00°, γ = 90.00°
Element x y z (fractional)
Zn  0.000  0.000  0.000
Ni  0.000  0.500  0.500
Ni  0.500  0.000  0.500
Ni  0.500  0.500  0.000
Au  0.500  0.500  0.500

Properties
**Space group**: Pm-3m
**Distance to the lowest polymorph of the same formula**: 373 meV/atom



Record 6
VASP calculation (GGA-PBE) on a relaxed Zn5NiAu6 crystal.

a = 7.808 Å, b = 7.808 Å, c = 7.808 Å
α = 146.54°, β = 132.68°, γ = 59.19°
Element x y z (fractional)
Zn  0.000  0.000  0.000
Zn  0.166  0.666  0.500
Zn  0.335  0.335  0.000
Zn  0.665  0.665  0.000
Zn  0.834  0.334  0.500
Ni  0.500  0.000  0.500
Au  0.086  0.834  0.252
Au  0.254  0.500  0.754
Au  0.418  0.166  0.252
Au  0.582  0.834  0.748
Au  0.746  0.500  0.246
Au  0.914  0.166  0.748

Properties
**DFT total energy**: -2.8234 eV per atom
**Space group**: Immm



Record 7
VASP calculation (GGA-PBE) on a relaxed Zn2NiAu6 crystal.

a = 4.891 Å, b = 4.891 Å, c = 8.476 Å
α = 105.26°, β = 105.26°, γ = 50.25°
Element x y z (fractional)
Zn  0.163  0.163  0.219
Zn  0.837  0.837  0.781
Ni  0.500  0.500  0.000
Au  0.162  0.162  0.904
Au  0.168  0.168  0.558
Au  0.497  0.497  0.315
Au  0.503  0.503  0.685
Au  0.832  0.832  0.442
Au  0.838  0.838  0.096

Properties
**Space group**: C2/m
**Distance to the lowest polymorph of the same formula**: 0 meV/atom



Record 8
VASP calculation (GGA-PBE) on a relaxed Zn2NiAu crystal.

a = 4.509 Å, b = 4.509 Å, c = 4.823 Å
α = 101.73°, β = 101.73°, γ = 37.14°
Element x y z (fractional)
Zn  0.241  0.241  0.226
Zn  0.759  0.759  0.774
Ni  0.500  0.500  0.000
Au  0.000  0.000  0.500

Properties
**DFT total energy**: -3.0371 eV per atom
**Space group**: C2/m



Record 9
VASP calculation (GGA-PBE) on a relaxed Zn4NiAu crystal.

a = 3.583 Å, b = 4.782 Å, c = 5.737 Å
α = 72.52°, β = 89.79°, γ = 68.02°
Element x y z (fractional)
Zn  0.162  0.175  0.311
Zn  0.164  0.173  0.849
Zn  0.836  0.827  0.151
Zn  0.838  0.825  0.689
Ni  0.500  0.500  0.000
Au  0.500  0.500  0.500

Properties
**Space group**: P-1
**Distance to the lowest polymorph of the same formula**: 0 meV/atom



Record 10
VASP calculation (GGA-PBE) on a relaxed Zn2NiAu crystal.

a = 4.797 Å, b = 4.797 Å, c = 4.583 Å
α = 103.13°, β = 103.13°, γ = 34.27°
Element x y z (fractional)
Zn  0.000  0.000  0.000
Zn  0.243  0.243  0.712
Ni  0.508  0.508  0.524
Au  0.757  0.757  0.227

Properties
**DFT total energy**: -3.0299 eV per atom
**Space group**: Cm



Record 11
VASP calculation (GGA-PBE) on a relaxed ZnNi2Au crystal.

a = 4.547 Å, b = 4.547 Å, c = 4.621 Å
α = 101.18°, β = 101.18°, γ = 35.17°
Element x y z (fractional)
Zn  0.000  0.000  0.000
Ni  0.255  0.255  0.767
Ni  0.745  0.745  0.233
Au  0.500  0.500  0.500

Properties
**DFT total energy**: -4.0513 eV per atom
**Space group**: C2/m



Record 12
VASP calculation (GGA-PBE) on a relaxed ZnNi2Au crystal.

a = 4.354 Å, b = 4.354 Å, c = 2.889 Å
α = 90.00°, β = 90.00°, γ = 101.23°
Element x y z (fractional)
Zn  0.000  0.000  0.000
Ni  0.000  0.500  0.500
Ni  0.500  0.000  0.500
Au  0.500  0.500  0.000

Properties
**DFT total energy**: -4.0962 eV per atom
**Space group**: Cmmm



Number 1: N(E_F) 1.25 states/eV per cell. Number 2: N(E_F) 1.71 states/eV per cell. Number 3: N(E_F) 2.41 states/eV per cell. Number 4: N(E_F) 3.47 states/eV per cell. Number 5: N(E_F) 6.95 states/eV per cell. Number 6: N(E_F) 3.49 states/eV per cell. Number 7: N(E_F) 2.66 states/eV per cell. Number 8: N(E_F) 1.75 states/eV per cell. Number 9: N(E_F) 2.02 states/eV per cell. Number 10: N(E_F) 1.72 states/eV per cell. Number 11: N(E_F) 3.65 states/eV per cell. Number 12: N(E_F) 2.81 states/eV per cell.